1.
Density functional theory data (SCAN) for a PBEsol-optimized structure of HfSeIN2.

Values from the calculation:
Formation energy (no corrections) ... 2.4 eV/f.u.

Structure (POSCAR):
```
HfSeIN2
1.0
4.081 0.000 0.000
0.000 4.081 0.000
0.000 0.000 6.157
I Hf Se N
1 1 1 2
direct
0.000 0.000 0.500 I
0.000 0.000 0.000 Hf
0.500 0.500 0.500 Se
0.000 0.500 0.000 N
0.500 0.000 0.000 N
```

2.
Density functional theory data (SCAN) for a PBEsol-optimized structure of Ni3MoAu.

Values from the calculation:
DFT formation energy ... 1.478 eV/atom

Structure (POSCAR):
```
Ni3MoAu
1.0
-1.321 -0.411 4.141
3.400 -2.611 0.825
2.399 3.474 1.110
Ni Mo Au
3 1 1
direct
0.000 0.500 0.000 Ni
0.000 0.000 0.500 Ni
0.500 0.000 0.000 Ni
0.000 0.000 0.000 Mo
0.500 0.500 0.500 Au
```

3.
Density functional theory data (SCAN) for a PBEsol-optimized structure of ZrBe2I.

Values from the calculation:
Formation energy (no corrections) ... 3.0 eV/f.u.

Structure (POSCAR):
```
ZrBe2I
1.0
-2.311 -5.215 -0.590
5.581 0.596 1.178
-2.653 2.210 4.579
I Be Zr
2 4 2
direct
0.000 0.000 0.000 I
0.250 0.750 0.500 I
0.889 0.875 0.514 Be
0.361 0.375 0.486 Be
0.125 0.639 0.014 Be
0.625 0.111 0.986 Be
0.500 0.500 0.000 Zr
0.750 0.250 0.500 Zr
```